Compound: MoSeNO2
Source: Alexandria via LeMat-Bulk
Functional: GGA-PBEsol
Structure: relaxed

abc: 3.763 3.763 4.089
angles: 90.00 90.00 90.00
Fractional coordinates of all 5 atoms:
Mo (0.000, 0.000, 0.000)
Se (0.500, 0.500, 0.500)
N (0.500, 0.500, 0.000)
O (0.000, 0.500, 0.500)
O (0.500, 0.000, 0.500)

* ρ: 6.34 g/cm³
* SG: P4/mmm, No. 123
* calculated total energy: -6.20 eV/atom
* raw formation energy: 0.7319 eV/atom